--- P ---
Material: SrMn3Ir
Method: DFT, PBE
State: relaxed

The structure in POSCAR format:
```
SrMn3Ir
1.0
4.945 0.000 0.000
0.000 4.945 0.000
0.000 0.000 4.945
Ir Mn Sr
1 3 1
Direct
0.000 0.000 0.000
0.500 0.000 0.000
0.000 0.000 0.500
0.000 0.500 0.000
0.500 0.500 0.500
```

* space-group type: Pm-3m, No. 221


--- Q ---
Material: SrMn3Ir
Method: DFT, PBE
State: relaxed

The structure in POSCAR format:
```
SrMn3Ir
1.0
4.664 0.000 0.000
0.000 4.664 0.000
0.000 0.000 4.664
Mn Ir Sr
3 1 1
Direct
0.000 0.000 0.500
0.500 0.000 0.000
0.000 0.500 0.000
0.500 0.500 0.500
0.000 0.000 0.000
```

* space-group type: Pm-3m, No. 221


Here is how they stack up, most stable first: P, Q.


--- P ---
Material: SrMnIr
Method: DFT, PBE
State: relaxed

The structure in POSCAR format:
```
SrMnIr
1.0
-0.830 -2.748 1.027
4.270 -2.339 -2.826
6.492 -0.298 4.438
Mn Sr Ir
2 2 2
Direct
0.287 0.240 0.802
0.288 0.709 0.802
0.288 0.788 0.176
0.289 0.161 0.429
0.788 0.590 0.571
0.788 0.359 0.034
```

* space-group type: C2/m, No. 12


--- Q ---
Material: SrMnIr
Method: DFT, PBE
State: relaxed

The structure in POSCAR format:
```
SrMnIr
1.0
4.019 0.000 0.000
-2.010 5.832 -0.039
-0.010 -0.914 6.030
Sr Ir Mn
2 2 2
Direct
0.308 0.703 0.717
0.928 0.944 0.261
0.182 0.454 0.174
0.054 0.193 0.804
0.579 0.244 0.628
0.657 0.402 0.349
```

* space-group type: P-1, No. 2


--- R ---
Material: SrMnIr
Method: DFT, PBE
State: relaxed

The structure in POSCAR format:
```
SrMnIr
1.0
0.000 3.126 3.126
3.126 0.000 3.126
3.126 3.126 0.000
Ir Sr Mn
1 1 1
Direct
0.250 0.250 0.250
0.750 0.750 0.750
0.000 0.000 0.000
```

* space-group type: F-43m, No. 216


Here is how they stack up, most stable first: P, Q, R.